(1)
A plane-wave DFT calculation with PBE was carried out for an optimized crystal structure of Tb2NpCrN5.

Cell: 6.982 6.982 10.136 Å, 90.00 90.00 151.84°
Element x y z (fractional)
Tb1 0.104 0.896 0.500
Tb2 0.133 0.867 0.114
Tb3 0.867 0.133 0.614
Tb4 0.896 0.104 0.000
Np1 0.210 0.790 0.821
Np2 0.790 0.210 0.321
Cr1 0.484 0.516 0.272
Cr2 0.516 0.484 0.772
N1 0.045 0.955 0.848
N2 0.283 0.717 0.463
N3 0.317 0.683 0.190
N4 0.374 0.626 0.811
N5 0.492 0.508 0.593
N6 0.508 0.492 0.093
N7 0.626 0.374 0.311
N8 0.683 0.317 0.690
N9 0.717 0.283 0.963
N10 0.955 0.045 0.348



(2)
A plane-wave DFT calculation with PBE was carried out for an optimized crystal structure of Th2NpCr2N6.

Cell: 6.689 6.689 6.689 Å, 48.93 48.93 48.93°
Element x y z (fractional)
Th1 0.211 0.211 0.211
Th2 0.789 0.789 0.789
Np1 0.000 0.000 0.000
Cr1 0.399 0.399 0.399
Cr2 0.601 0.601 0.601
N1 0.225 0.743 0.743
N2 0.257 0.257 0.775
N3 0.257 0.775 0.257
N4 0.743 0.225 0.743
N5 0.743 0.743 0.225
N6 0.775 0.257 0.257



(3)
A plane-wave DFT calculation with PBE was carried out for an optimized crystal structure of ThNp2CrN5.

Cell: 7.178 7.178 7.178 Å, 126.42 126.42 79.21°
Element x y z (fractional)
Th1 0.250 0.250 0.000
Th2 0.750 0.750 0.000
Np1 0.167 0.667 0.835
Np2 0.333 0.167 0.500
Np3 0.667 0.833 0.500
Np4 0.833 0.333 0.165
Cr1 0.250 0.750 0.500
Cr2 0.750 0.250 0.500
N1 0.000 0.000 0.000
N2 0.009 0.205 0.500
N3 0.205 0.705 0.196
N4 0.295 0.491 0.500
N5 0.491 0.991 0.196
N6 0.500 0.500 0.000
N7 0.509 0.009 0.804
N8 0.705 0.509 0.500
N9 0.795 0.295 0.804
N10 0.991 0.795 0.500



(4)
A plane-wave DFT calculation with PBE was carried out for an optimized crystal structure of Th2NpCrN6.

Cell: 5.648 5.648 5.805 Å, 119.74 119.74 59.96°
Element x y z (fractional)
Th1 0.246 0.246 0.231
Th2 0.754 0.754 0.769
Np1 0.000 0.000 0.500
Cr1 0.500 0.500 0.000
N1 0.196 0.690 0.185
N2 0.255 0.255 0.656
N3 0.310 0.804 0.815
N4 0.690 0.196 0.185
N5 0.745 0.745 0.344
N6 0.804 0.310 0.815



(5)
A plane-wave DFT calculation with PBE was carried out for an optimized crystal structure of NpU2CrN4.

Cell: 5.975 5.975 11.321 Å, 90.00 90.00 148.45°
Element x y z (fractional)
Np1 0.104 0.896 0.750
Np2 0.896 0.104 0.250
U1 0.366 0.634 0.555
U2 0.366 0.634 0.945
U3 0.634 0.366 0.055
U4 0.634 0.366 0.445
Cr1 0.158 0.842 0.250
Cr2 0.842 0.158 0.750
N1 0.000 0.000 0.000
N2 0.000 0.000 0.500
N3 0.278 0.722 0.125
N4 0.278 0.722 0.375
N5 0.449 0.551 0.750
N6 0.551 0.449 0.250
N7 0.722 0.278 0.625
N8 0.722 0.278 0.875



(6)
A plane-wave DFT calculation with PBE was carried out for an optimized crystal structure of Np2UCrN4.

Cell: 5.914 5.914 11.419 Å, 90.00 90.00 148.29°
Element x y z (fractional)
Np1 0.134 0.866 0.553
Np2 0.134 0.866 0.947
Np3 0.866 0.134 0.053
Np4 0.866 0.134 0.447
U1 0.394 0.606 0.750
U2 0.606 0.394 0.250
Cr1 0.346 0.654 0.250
Cr2 0.654 0.346 0.750
N1 0.046 0.954 0.750
N2 0.221 0.779 0.130
N3 0.221 0.779 0.370
N4 0.500 0.500 0.000
N5 0.500 0.500 0.500
N6 0.779 0.221 0.630
N7 0.779 0.221 0.870
N8 0.954 0.046 0.250



| no. | formation energy (no corrections) (eV/f.u.) | magnetization (μB/atom) |
| --- | --- | --- |
| 1 | -10.2 | 0.45 |
| 2 | -9.3 | 0.36 |
| 3 | -10.2 | 0.86 |
| 4 | -11.5 | 0.30 |
| 5 | -8.4 | 0.49 |
| 6 | -7.8 | 0.74 |